VASP calculation (GGA-PBEsol) on an optimized crystal structure of KCuP2Se5.

extended XYZ file:
```
36
Lattice="7.674 0.000 0.000 0.000 10.982 0.209 0.000 -3.800 10.683" Properties=species:S:1:pos:R:3 pbc="T T T"
Cu 6.465 4.492 9.100
Cu 1.209 2.690 1.792
Cu 2.628 6.281 7.238
Cu 5.047 0.901 3.654
Se 5.673 4.046 5.499
Se 2.363 7.173 0.794
Se 7.106 2.254 8.466
Se 1.836 6.728 10.839
Se 0.290 5.979 7.891
Se 4.128 4.795 8.447
Se 7.384 1.204 3.001
Se 2.913 6.382 4.900
Se 4.762 0.800 5.992
Se 3.547 2.387 2.445
Se 1.474 -0.218 6.031
Se 3.269 -2.463 7.664
Se 5.839 0.455 0.053
Se 6.750 8.191 0.755
Se 4.406 9.645 3.228
Se 0.568 4.928 2.426
Se 6.201 7.400 4.861
Se 0.924 -1.009 10.137
Se 2.001 3.137 5.393
Se 5.311 0.009 10.098
P 3.345 5.043 10.505
P 1.202 5.088 4.489
P 6.472 2.094 6.403
P 0.492 1.451 5.058
P 5.040 9.485 1.166
P 7.182 5.731 5.834
P 2.635 -2.303 9.726
P 4.330 2.140 0.388
K 6.576 -1.827 7.511
K 4.936 5.564 2.274
K 2.739 1.619 8.618
K 1.099 9.010 3.381
```

Output
energy relative to the elements, uncorrected	-0.338	eV/atom
VASP energy	-4.3713	eV per atom
magnetization	0.000	μB/cell